An optimized crystal structure of Li2MnCoO4. Source: Alexandria via LeMat-Bulk, functional GGA+U.

a = 5.1285 Å, b = 5.9564 Å, c = 5.0652 Å
α = 90.00°, β = 109.30°, γ = 90.00°
Last column: nearest neighbours and their distance in Å.
Fractional coordinates of all 16 atoms:
1 Li 0.0000 0.1223 0.2500  6 O 2.06-2.24
2 Li 0.0000 0.3697 0.7500  6 O 2.07-2.22
3 Li 0.0000 0.6303 0.2500  6 O 2.07-2.22
4 Li 0.0000 0.8777 0.7500  6 O 2.06-2.24
5 Mn 0.5000 0.3739 0.2500  6 O 1.93-1.98
6 Mn 0.5000 0.6261 0.7500  6 O 1.93-1.98
7 Co 0.5000 0.1210 0.7500  6 O 2.09-2.13
8 Co 0.5000 0.8790 0.2500  6 O 2.09-2.13
9 O 0.2652 0.1448 0.0208  1 Mn 1.93, 2 Li 2.06-2.07, 2 Co 2.09-2.11
10 O 0.2652 0.8552 0.5208  1 Mn 1.93, 2 Li 2.06-2.07, 2 Co 2.09-2.11
11 O 0.2793 0.3913 0.4974  2 Mn 1.95-1.98, 1 Li 2.11, 1 Co 2.13
12 O 0.2793 0.6087 0.9974  2 Mn 1.95-1.98, 1 Li 2.11, 1 Co 2.13
13 O 0.7207 0.3913 0.0026  2 Mn 1.95-1.98, 1 Li 2.11, 1 Co 2.13
14 O 0.7207 0.6087 0.5026  2 Mn 1.95-1.98, 1 Li 2.11, 1 Co 2.13
15 O 0.7348 0.1448 0.4792  1 Mn 1.93, 2 Li 2.06-2.07, 2 Co 2.09-2.11
16 O 0.7348 0.8552 0.9792  1 Mn 1.93, 2 Li 2.06-2.07, 2 Co 2.09-2.11

Properties
* symmetry: P2/c, No. 13
* V: 146.03 Å³/cell
* ΔE to the lowest computed polymorph: 0 meV/atom
* total moment: 6.01 μB/f.u.
* total DFT energy (no corrections): -98.231 eV for the cell shown